*one*
# MnIr3Cl

Crystalline MnIr3Cl at its relaxed geometry (GGA-PBE, Alexandria via LeMat-Bulk).

Fermi-level density of states (states/eV/cell): 5.68

a b c (Å): 4.419 4.419 4.419
angles (deg): 90.00 90.00 90.00
Fractional positions:
1 Mn 0.000 0.000 0.000
2 Ir 0.000 0.500 0.500
3 Ir 0.500 0.000 0.500
4 Ir 0.500 0.500 0.000
5 Cl 0.500 0.500 0.500



*two*
# MnIr3Cl

Crystalline MnIr3Cl at its relaxed geometry (GGA-PBE, Alexandria via LeMat-Bulk).

Fermi-level density of states (states/eV/cell): 9.75

a b c (Å): 4.521 4.521 4.521
angles (deg): 90.00 90.00 90.00
Fractional positions:
1 Mn 0.000 0.000 0.000
2 Ir 0.000 0.000 0.500
3 Ir 0.000 0.500 0.000
4 Ir 0.500 0.000 0.000
5 Cl 0.500 0.500 0.500



*one* comes first in stability; the runner-up is 23.1 kJ/mol of atoms higher.



*one*
# MnNb2IrCl

Crystalline MnNb2IrCl at its relaxed geometry (GGA-PBE, Alexandria via LeMat-Bulk).

Fermi-level density of states (states/eV/cell): 6.09

a b c (Å): 4.478 4.478 4.343
angles (deg): 90.00 90.00 90.00
Fractional positions:
1 Mn 0.000 0.000 0.000
2 Nb 0.000 0.500 0.500
3 Nb 0.500 0.000 0.500
4 Ir 0.500 0.500 0.000
5 Cl 0.500 0.500 0.500



*two*
# MnNb2IrCl

Crystalline MnNb2IrCl at its relaxed geometry (GGA-PBE, Alexandria via LeMat-Bulk).

Fermi-level density of states (states/eV/cell): 5.48

a b c (Å): 4.684 4.684 4.050
angles (deg): 90.00 90.00 90.00
Fractional positions:
1 Mn 0.000 0.000 0.000
2 Nb 0.000 0.500 0.000
3 Nb 0.500 0.000 0.000
4 Ir 0.500 0.500 0.500
5 Cl 0.000 0.000 0.500



*two* comes first in stability; the runner-up is 9.7 kJ/mol of atoms higher.



*one*
# MnNiIr2Cl

Crystalline MnNiIr2Cl at its relaxed geometry (GGA-PBE, Alexandria via LeMat-Bulk).

Fermi-level density of states (states/eV/cell): 10.09

a b c (Å): 4.494 4.494 4.365
angles (deg): 90.00 90.00 90.00
Fractional positions:
1 Mn 0.000 0.000 0.000
2 Ni 0.000 0.000 0.500
3 Ir 0.000 0.500 0.000
4 Ir 0.500 0.000 0.000
5 Cl 0.500 0.500 0.500



*two*
# MnNiIr2Cl

Crystalline MnNiIr2Cl at its relaxed geometry (GGA-PBE, Alexandria via LeMat-Bulk).

Fermi-level density of states (states/eV/cell): 4.65

a b c (Å): 4.467 4.467 4.059
angles (deg): 90.00 90.00 90.00
Fractional positions:
1 Mn 0.000 0.000 0.000
2 Ni 0.500 0.500 0.000
3 Ir 0.000 0.500 0.500
4 Ir 0.500 0.000 0.500
5 Cl 0.500 0.500 0.500



*two* comes first in stability; the runner-up is 35.7 kJ/mol of atoms higher.



*one*
# MnP2IrCl

Crystalline MnP2IrCl at its relaxed geometry (GGA-PBE, Alexandria via LeMat-Bulk).

Fermi-level density of states (states/eV/cell): 6.18

a b c (Å): 4.430 4.430 4.340
angles (deg): 90.00 90.00 90.00
Fractional positions:
1 Mn 0.000 0.000 0.000
2 P 0.000 0.500 0.000
3 P 0.500 0.000 0.000
4 Ir 0.500 0.500 0.500
5 Cl 0.000 0.000 0.500



*two*
# MnP2IrCl

Crystalline MnP2IrCl at its relaxed geometry (GGA-PBE, Alexandria via LeMat-Bulk).

Fermi-level density of states (states/eV/cell): 3.47

a b c (Å): 4.393 4.393 6.938
angles (deg): 90.00 90.00 90.00
Fractional positions:
1 Mn 0.000 0.000 0.000
2 P 0.000 0.500 0.500
3 P 0.500 0.000 0.500
4 Ir 0.500 0.500 0.500
5 Cl 0.500 0.500 0.000



*two* comes first in stability; the runner-up is 27.8 kJ/mol of atoms higher.